# 1
The following is a DFT calculation (GGA-PBE) of a relaxed GdSnHgPd crystal.

```
GdSnHgPd
1.0
-0.342 -0.980 -4.910
0.905 -4.633 -1.703
-3.772 -2.815 -1.740
Gd Hg Pd Sn
1 1 1 1
direct
0.750 0.750 0.750
0.000 0.000 0.000
0.500 0.500 0.500
0.250 0.250 0.250
```

Output
Energy of formation from the pure elements (eV/atom): -0.56
Final energy (eV per formula unit): -25.836

---

# 2
The following is a DFT calculation (GGA-PBE) of a relaxed Nb4Re3Tc crystal.

```
Nb4Re3Tc
1.0
3.203 0.000 0.000
0.000 3.203 0.000
0.000 0.000 12.815
Re Nb Tc
3 4 1
direct
0.500 0.500 0.249
0.500 0.500 0.500
0.500 0.500 0.751
0.000 0.000 0.875
0.000 0.000 0.125
0.000 0.000 0.375
0.000 0.000 0.625
0.500 0.500 0.000
```

Output
Energy of formation from the pure elements (eV/atom): -0.29
Final energy (eV per formula unit): -90.343

---

# 3
The following is a DFT calculation (GGA-PBE) of a relaxed Cs2NaSe crystal.

```
Cs2NaSe
1.0
-6.922 6.922 2.772
6.922 -6.922 2.772
6.922 6.922 -2.772
Cs Na Se
4 2 2
direct
0.625 0.937 0.812
0.125 0.813 0.188
0.063 0.875 0.688
0.187 0.375 0.312
0.500 0.500 0.000
0.750 0.250 0.500
0.000 0.000 0.000
0.250 0.750 0.500
```

Output
Energy relative to the elements, uncorrected (eV/atom): -0.6908
Excess energy over the best structure of this formula in the dataset (eV per atom): 0.000
Final energy (eV per formula unit): -9.274

---

> Look up the final energy of the first one.

-25.836 eV per formula unit